Entry 1:
The following is a PBE-GGA calculation of a relaxed structure of RbBiAs2Br, from Alexandria via LeMat-Bulk.

Lattice parameters (Å, degrees): 5.7759 5.7759 5.7913 90.00 90.00 90.00
With the nearest neighbours (Å) after each atom.
Space group P4/mmm (No. 123)
Asymmetric unit:
Rb (0.0000, 0.0000, 0.0000) [1 per cell]  4 As 2.89, 2 Br 2.90
Bi (0.5000, 0.5000, 0.5000) [1 per cell]  4 Br 4.08, 8 As 4.09
As (0.0000, 0.5000, 0.0000) [2 per cell]  2 Rb 2.89
Br (0.0000, 0.0000, 0.5000) [1 per cell]  2 Rb 2.90

**Energy above the lowest structure with this stoichiometry**: 5.36 eV/f.u.
**Formation energy from raw total energies**: 1.09 eV/atom

Entry 2:
The following is a PBE-GGA calculation of a relaxed structure of PmYCo, from Alexandria via LeMat-Bulk.

Lattice parameters (Å, degrees): 5.2197 5.5276 5.6494 100.09 95.09 93.69
With the nearest neighbours (Å) after each atom.
Space group P-1 (No. 2)
Asymmetric unit:
Pm (0.0063, 0.2978, 0.2028) [2 per cell]  4 Co 2.78-3.04
Y (0.4538, 0.2243, 0.7329) [2 per cell]  2 Co 2.66-2.67
Co (0.0601, 0.8457, 0.3459) [2 per cell]  1 Co 2.37, 1 Y 2.66

**Energy above the lowest structure with this stoichiometry**: 0.21 eV/f.u.
**DFT formation energy**: -45 meV per atom

| no. | DOS at the Fermi energy (states/eV/atom) | final energy (eV per atom) |
| --- | --- | --- |
| 1 | 0.79 | -2.078 |
| 2 | 0.93 | -6.152 |